# 1
Computed, not measured: a relaxed Cs3NbH crystal at the PBE level of DFT.

VASP energy: -2.019 eV/atom
N(E_F): 2.61 states/eV/cell
crystal system: cubic

Structure (CIF):
```
data_Cs3NbH
_cell_length_a 7.1872
_cell_length_b 7.1872
_cell_length_c 7.1872
_cell_angle_alpha 90.00
_cell_angle_beta 90.00
_cell_angle_gamma 90.00
_symmetry_space_group_name_H-M 'P m -3 m'
_symmetry_Int_Tables_number 221
_symmetry_space_group_name_Hall '-P 4 2 3'
loop_
_atom_site_label
_atom_site_fract_x
_atom_site_fract_y
_atom_site_fract_z
Cs1 0.0000 0.0000 0.5000
Nb1 0.0000 0.0000 0.0000
H1 0.5000 0.5000 0.5000
```

# 2
Computed, not measured: a relaxed LiZrMo2 crystal at the PBE level of DFT.

ΔH_f (0 K): 0.19 eV per atom
VASP energy: -7.840 eV/atom
N(E_F): 3.36 states/eV/cell
excess energy over the best structure of this formula in the dataset: 0.000 eV/f.u.
crystal system: tetragonal

Structure (CIF):
```
data_LiZrMo2
_cell_length_a 3.2522
_cell_length_b 3.2522
_cell_length_c 6.3511
_cell_angle_alpha 90.00
_cell_angle_beta 90.00
_cell_angle_gamma 90.00
_symmetry_space_group_name_H-M 'P 4 m m'
_symmetry_Int_Tables_number 99
loop_
_symmetry_equiv_pos_as_xyz
'x,y,z'
'-y,x,z'
'-x,-y,z'
'y,-x,z'
'-x,y,z'
'y,x,z'
'x,-y,z'
'-y,-x,z'
loop_
_atom_site_label
_atom_site_fract_x
_atom_site_fract_y
_atom_site_fract_z
Li1 0.0000 0.0000 0.0000
Zr1 0.5000 0.5000 0.7228
Mo1 0.0000 0.0000 0.4476
Mo2 0.5000 0.5000 0.2285
```

# 3
Computed, not measured: a relaxed SrAlOs2 crystal at the PBE level of DFT.

ΔH_f (0 K): 0.44 eV per atom
VASP energy: -6.526 eV/atom
N(E_F): 3.64 states/eV/cell
crystal system: tetragonal

Structure (CIF):
```
data_SrAlOs2
_cell_length_a 3.1712
_cell_length_b 3.1712
_cell_length_c 7.3687
_cell_angle_alpha 90.00
_cell_angle_beta 90.00
_cell_angle_gamma 90.00
_symmetry_space_group_name_H-M 'P 4/m m m'
_symmetry_Int_Tables_number 123
_symmetry_space_group_name_Hall '-P 4 2'
loop_
_atom_site_label
_atom_site_fract_x
_atom_site_fract_y
_atom_site_fract_z
Sr1 0.0000 0.0000 0.0000
Al1 0.0000 0.0000 0.5000
Os1 0.5000 0.5000 0.3221
```